Entry 1:
VASP calculation (PBE-GGA) on a relaxed structure of ScTe2IrPt.

Structure (CIF):
```
data_ScTe2IrPt
_symmetry_space_group_name_H-M 'P 4/m m m'
_symmetry_Int_Tables_number 123
_symmetry_space_group_name_Hall '-P 4 2'
_cell_length_a 5.192
_cell_length_b 5.192
_cell_length_c 4.876
_cell_angle_alpha 90.00
_cell_angle_beta 90.00
_cell_angle_gamma 90.00
loop_
_atom_site_label
_atom_site_fract_x
_atom_site_fract_y
_atom_site_fract_z
_atom_site_occupancy
Sc1 0.000 0.000 0.000 1
Te1 0.000 0.500 0.500 1
Ir1 0.500 0.500 0.000 1
Pt1 0.000 0.000 0.500 1
```

Crystal system ... tetragonal
VASP energy ... -4.820 eV per atom

Entry 2:
VASP calculation (PBE-GGA) on a relaxed structure of Sc2TeIrPt.

Structure (CIF):
```
data_Sc2TeIrPt
_symmetry_space_group_name_H-M 'P 4/m m m'
_symmetry_Int_Tables_number 123
_symmetry_space_group_name_Hall '-P 4 2'
_cell_length_a 5.013
_cell_length_b 5.013
_cell_length_c 4.928
_cell_angle_alpha 90.00
_cell_angle_beta 90.00
_cell_angle_gamma 90.00
loop_
_atom_site_label
_atom_site_fract_x
_atom_site_fract_y
_atom_site_fract_z
_atom_site_occupancy
Sc1 0.000 0.500 0.000 1
Te1 0.000 0.000 0.500 1
Ir1 0.000 0.000 0.000 1
Pt1 0.500 0.500 0.500 1
```

Crystal system ... tetragonal
VASP energy ... -6.135 eV per atom

Entry 3:
VASP calculation (PBE-GGA) on a relaxed structure of ScTiIrPt.

Structure (CIF):
```
data_ScTiIrPt
_symmetry_space_group_name_H-M 'I -4 m 2'
_symmetry_Int_Tables_number 119
_symmetry_space_group_name_Hall 'I -4 -2'
_cell_length_a 4.290
_cell_length_b 4.290
_cell_length_c 7.105
_cell_angle_alpha 90.00
_cell_angle_beta 90.00
_cell_angle_gamma 90.00
loop_
_atom_site_label
_atom_site_fract_x
_atom_site_fract_y
_atom_site_fract_z
_atom_site_occupancy
Sc1 0.000 0.000 0.000 1
Ti1 0.000 0.000 0.500 1
Ir1 0.000 0.500 0.250 1
Pt1 0.000 0.500 0.750 1
```

ΔH_f (0 K) ... -0.910 eV per atom
Crystal system ... tetragonal

Entry 4:
VASP calculation (PBE-GGA) on a relaxed structure of TmScIrPt.

Structure (CIF):
```
data_TmScIrPt
_symmetry_space_group_name_H-M 'F -4 3 m'
_symmetry_Int_Tables_number 216
_symmetry_space_group_name_Hall 'F -4 2 3'
_cell_length_a 6.688
_cell_length_b 6.688
_cell_length_c 6.688
_cell_angle_alpha 90.00
_cell_angle_beta 90.00
_cell_angle_gamma 90.00
loop_
_atom_site_label
_atom_site_fract_x
_atom_site_fract_y
_atom_site_fract_z
_atom_site_occupancy
Tm1 0.000 0.000 0.000 1
Sc1 0.000 0.000 0.500 1
Ir1 0.250 0.250 0.750 1
Pt1 0.250 0.250 0.250 1
```

ΔH_f (0 K) ... -1.083 eV per atom
Crystal system ... cubic

Entry 5:
VASP calculation (PBE-GGA) on a relaxed structure of TmScIrPt.

Structure (CIF):
```
data_TmScIrPt
_symmetry_space_group_name_H-M 'P 4 m m'
_symmetry_Int_Tables_number 99
_cell_length_a 3.319
_cell_length_b 3.319
_cell_length_c 6.768
_cell_angle_alpha 90.00
_cell_angle_beta 90.00
_cell_angle_gamma 90.00
loop_
_symmetry_equiv_pos_as_xyz
'x,y,z'
'-y,x,z'
'-x,-y,z'
'y,-x,z'
'-x,y,z'
'y,x,z'
'x,-y,z'
'-y,-x,z'
loop_
_atom_site_label
_atom_site_fract_x
_atom_site_fract_y
_atom_site_fract_z
_atom_site_occupancy
Tm1 0.000 0.000 0.000 1
Sc1 0.000 0.000 0.488 1
Ir1 0.500 0.500 0.260 1
Pt1 0.500 0.500 0.730 1
```

ΔH_f (0 K) ... -1.112 eV per atom
Crystal system ... tetragonal

Entry 6:
VASP calculation (PBE-GGA) on a relaxed structure of ScIrPtW2.

Structure (CIF):
```
data_ScIrPtW2
_symmetry_space_group_name_H-M 'P 4/m m m'
_symmetry_Int_Tables_number 123
_symmetry_space_group_name_Hall '-P 4 2'
_cell_length_a 4.702
_cell_length_b 4.702
_cell_length_c 5.006
_cell_angle_alpha 90.00
_cell_angle_beta 90.00
_cell_angle_gamma 90.00
loop_
_atom_site_label
_atom_site_fract_x
_atom_site_fract_y
_atom_site_fract_z
_atom_site_occupancy
Sc1 0.000 0.000 0.000 1
Ir1 0.500 0.500 0.500 1
Pt1 0.500 0.500 0.000 1
W1 0.000 0.500 0.500 1
```

ΔH_f (0 K) ... 1.241 eV per atom
Crystal system ... tetragonal

Entry 7:
VASP calculation (PBE-GGA) on a relaxed structure of YScIrPt.

Structure (CIF):
```
data_YScIrPt
_symmetry_space_group_name_H-M 'F -4 3 m'
_symmetry_Int_Tables_number 216
_symmetry_space_group_name_Hall 'F -4 2 3'
_cell_length_a 6.747
_cell_length_b 6.747
_cell_length_c 6.747
_cell_angle_alpha 90.00
_cell_angle_beta 90.00
_cell_angle_gamma 90.00
loop_
_atom_site_label
_atom_site_fract_x
_atom_site_fract_y
_atom_site_fract_z
_atom_site_occupancy
Y1 0.000 0.000 0.000 1
Sc1 0.000 0.000 0.500 1
Ir1 0.250 0.250 0.250 1
Pt1 0.250 0.250 0.750 1
```

ΔH_f (0 K) ... -1.008 eV per atom
Crystal system ... cubic

Entry 8:
VASP calculation (PBE-GGA) on a relaxed structure of ScZnIr2Pt.

Structure (CIF):
```
data_ScZnIr2Pt
_symmetry_space_group_name_H-M 'P 4/m m m'
_symmetry_Int_Tables_number 123
_symmetry_space_group_name_Hall '-P 4 2'
_cell_length_a 4.614
_cell_length_b 4.614
_cell_length_c 4.736
_cell_angle_alpha 90.00
_cell_angle_beta 90.00
_cell_angle_gamma 90.00
loop_
_atom_site_label
_atom_site_fract_x
_atom_site_fract_y
_atom_site_fract_z
_atom_site_occupancy
Sc1 0.000 0.000 0.000 1
Zn1 0.000 0.000 0.500 1
Ir1 0.000 0.500 0.000 1
Pt1 0.500 0.500 0.500 1
```

ΔH_f (0 K) ... 1.359 eV per atom
Crystal system ... tetragonal

Entry 9:
VASP calculation (PBE-GGA) on a relaxed structure of ScZnIrPt.

Structure (CIF):
```
data_ScZnIrPt
_symmetry_space_group_name_H-M 'P m m m'
_symmetry_Int_Tables_number 47
_cell_length_a 3.590
_cell_length_b 4.134
_cell_length_c 4.200
_cell_angle_alpha 90.00
_cell_angle_beta 90.00
_cell_angle_gamma 90.00
loop_
_symmetry_equiv_pos_as_xyz
'x,y,z'
'-x,-y,-z'
'-x,-y,z'
'x,y,-z'
'x,-y,-z'
'-x,y,z'
'-x,y,-z'
'x,-y,z'
loop_
_atom_site_label
_atom_site_fract_x
_atom_site_fract_y
_atom_site_fract_z
_atom_site_occupancy
Sc1 0.000 0.000 0.000 1
Zn1 0.000 0.500 0.500 1
Ir1 0.500 0.500 0.000 1
Pt1 0.500 0.000 0.500 1
```

ΔH_f (0 K) ... -0.829 eV per atom
Crystal system ... orthorhombic

Entry 10:
VASP calculation (PBE-GGA) on a relaxed structure of ScZnIrPt.

Structure (CIF):
```
data_ScZnIrPt
_symmetry_space_group_name_H-M 'F -4 3 m'
_symmetry_Int_Tables_number 216
_symmetry_space_group_name_Hall 'F -4 2 3'
_cell_length_a 6.308
_cell_length_b 6.308
_cell_length_c 6.308
_cell_angle_alpha 90.00
_cell_angle_beta 90.00
_cell_angle_gamma 90.00
loop_
_atom_site_label
_atom_site_fract_x
_atom_site_fract_y
_atom_site_fract_z
_atom_site_occupancy
Sc1 0.000 0.000 0.000 1
Zn1 0.000 0.000 0.500 1
Ir1 0.250 0.250 0.750 1
Pt1 0.250 0.250 0.250 1
```

ΔH_f (0 K) ... -0.774 eV per atom
Crystal system ... cubic

Entry 11:
VASP calculation (PBE-GGA) on a relaxed structure of IrPt2Se.

Structure (CIF):
```
data_IrPt2Se
_symmetry_space_group_name_H-M 'C m m m'
_symmetry_Int_Tables_number 65
_symmetry_space_group_name_Hall '-C 2 2'
_cell_length_a 2.762
_cell_length_b 4.940
_cell_length_c 9.555
_cell_angle_alpha 90.00
_cell_angle_beta 90.00
_cell_angle_gamma 90.00
loop_
_atom_site_label
_atom_site_fract_x
_atom_site_fract_y
_atom_site_fract_z
_atom_site_occupancy
Ir1 0.000 0.000 0.000 1
Pt1 0.000 0.500 0.243 1
Se1 0.000 0.000 0.500 1
```

Crystal system ... orthorhombic
VASP energy ... -5.780 eV per atom

Entry 12:
VASP calculation (PBE-GGA) on a relaxed structure of IrPtSe.

Structure (CIF):
```
data_IrPtSe
_symmetry_space_group_name_H-M 'F m m 2'
_symmetry_Int_Tables_number 42
_symmetry_space_group_name_Hall 'F 2 -2'
_cell_length_a 2.802
_cell_length_b 4.949
_cell_length_c 14.365
_cell_angle_alpha 90.00
_cell_angle_beta 90.00
_cell_angle_gamma 90.00
loop_
_atom_site_label
_atom_site_fract_x
_atom_site_fract_y
_atom_site_fract_z
_atom_site_occupancy
Ir1 0.000 0.000 0.000 1
Pt1 0.000 0.000 0.665 1
Se1 0.000 0.000 0.353 1
```

Crystal system ... orthorhombic
VASP energy ... -5.716 eV per atom

Entry 13:
VASP calculation (PBE-GGA) on a relaxed structure of IrPtSe.

Structure (CIF):
```
data_IrPtSe
_symmetry_space_group_name_H-M 'P -6 m 2'
_symmetry_Int_Tables_number 187
_symmetry_space_group_name_Hall 'P -6 2'
_cell_length_a 3.0084
_cell_length_b 3.0084
_cell_length_c 12.4135
_cell_angle_alpha 90.00
_cell_angle_beta 90.00
_cell_angle_gamma 120.00
loop_
_atom_site_label
_atom_site_fract_x
_atom_site_fract_y
_atom_site_fract_z
_atom_site_occupancy
Ir1 0.0000 0.0000 0.0000 1
Ir2 0.0000 0.0000 0.5000 1
Pt1 0.3333 0.6667 0.1717 1
Se1 0.6667 0.3333 0.3370 1
```

Crystal system ... hexagonal
VASP energy ... -5.772 eV per atom

Entry 14:
VASP calculation (PBE-GGA) on a relaxed structure of IrPt5Se12.

Structure (CIF):
```
data_IrPt5Se12
_symmetry_space_group_name_H-M 'C 1 2/m 1'
_symmetry_Int_Tables_number 12
_cell_length_a 6.533
_cell_length_b 11.327
_cell_length_c 11.131
_cell_angle_alpha 90.00
_cell_angle_beta 101.42
_cell_angle_gamma 90.00
loop_
_symmetry_equiv_pos_as_xyz
'x,y,z'
'-x,-y,-z'
'-x,y,-z'
'x,-y,z'
'x+1/2,y+1/2,z'
'-x+1/2,-y+1/2,-z'
'-x+1/2,y+1/2,-z'
'x+1/2,-y+1/2,z'
loop_
_atom_site_label
_atom_site_fract_x
_atom_site_fract_y
_atom_site_fract_z
_atom_site_occupancy
Ir1 0.000 0.000 0.000 1
Pt1 0.000 0.167 0.500 1
Pt2 0.000 0.333 0.000 1
Pt3 0.000 0.500 0.500 1
Se1 0.126 0.000 0.381 1
Se2 0.126 0.333 0.381 1
Se3 0.205 0.165 0.118 1
Se4 0.209 0.500 0.118 1
```

Crystal system ... monoclinic
VASP energy ... -4.869 eV per atom

Entry 15:
VASP calculation (PBE-GGA) on a relaxed structure of Ir2PtSe.

Structure (CIF):
```
data_Ir2PtSe
_symmetry_space_group_name_H-M 'R -3 m'
_symmetry_Int_Tables_number 166
_symmetry_space_group_name_Hall '-R 3 2"'
_cell_length_a 2.9069
_cell_length_b 2.9069
_cell_length_c 25.4160
_cell_angle_alpha 90.00
_cell_angle_beta 90.00
_cell_angle_gamma 120.00
loop_
_atom_site_label
_atom_site_fract_x
_atom_site_fract_y
_atom_site_fract_z
_atom_site_occupancy
Ir1 0.0000 0.0000 0.2449 1
Pt1 0.0000 0.0000 0.0000 1
Se1 0.0000 0.0000 0.5000 1
```

Crystal system ... trigonal
VASP energy ... -6.491 eV per atom

Entry 16:
VASP calculation (PBE-GGA) on a relaxed structure of Ir2PtSe.

Structure (CIF):
```
data_Ir2PtSe
_symmetry_space_group_name_H-M 'P m m m'
_symmetry_Int_Tables_number 47
_cell_length_a 2.780
_cell_length_b 4.741
_cell_length_c 4.793
_cell_angle_alpha 90.00
_cell_angle_beta 90.00
_cell_angle_gamma 90.00
loop_
_symmetry_equiv_pos_as_xyz
'x,y,z'
'-x,-y,-z'
'-x,-y,z'
'x,y,-z'
'x,-y,-z'
'-x,y,z'
'-x,y,-z'
'x,-y,z'
loop_
_atom_site_label
_atom_site_fract_x
_atom_site_fract_y
_atom_site_fract_z
_atom_site_occupancy
Ir1 0.000 0.000 0.000 1
Ir2 0.500 0.000 0.500 1
Pt1 0.000 0.500 0.500 1
Se1 0.500 0.500 0.000 1
```

Crystal system ... orthorhombic
VASP energy ... -6.386 eV per atom

Entry 17:
VASP calculation (PBE-GGA) on a relaxed structure of IrPt2Se.

Structure (CIF):
```
data_IrPt2Se
_symmetry_space_group_name_H-M 'C 1 m 1'
_symmetry_Int_Tables_number 8
_cell_length_a 9.846
_cell_length_b 2.882
_cell_length_c 4.842
_cell_angle_alpha 90.00
_cell_angle_beta 101.26
_cell_angle_gamma 90.00
loop_
_symmetry_equiv_pos_as_xyz
'x,y,z'
'x,-y,z'
'x+1/2,y+1/2,z'
'x+1/2,-y+1/2,z'
loop_
_atom_site_label
_atom_site_fract_x
_atom_site_fract_y
_atom_site_fract_z
_atom_site_occupancy
Ir1 0.000 0.000 0.000 1
Pt1 0.229 0.500 0.255 1
Pt2 0.493 0.000 0.475 1
Se1 0.309 0.000 0.761 1
```

Crystal system ... monoclinic
VASP energy ... -5.873 eV per atom

Entry 18:
VASP calculation (PBE-GGA) on a relaxed structure of IrPt2Se.

Structure (CIF):
```
data_IrPt2Se
_symmetry_space_group_name_H-M 'F -4 3 m'
_symmetry_Int_Tables_number 216
_symmetry_space_group_name_Hall 'F -4 2 3'
_cell_length_a 6.357
_cell_length_b 6.357
_cell_length_c 6.357
_cell_angle_alpha 90.00
_cell_angle_beta 90.00
_cell_angle_gamma 90.00
loop_
_atom_site_label
_atom_site_fract_x
_atom_site_fract_y
_atom_site_fract_z
_atom_site_occupancy
Ir1 0.000 0.000 0.000 1
Pt1 0.000 0.000 0.500 1
Pt2 0.250 0.250 0.750 1
Se1 0.250 0.250 0.250 1
```

Crystal system ... cubic
VASP energy ... -5.697 eV per atom

Entry 19:
VASP calculation (PBE-GGA) on a relaxed structure of Ir2PtSe.

Structure (CIF):
```
data_Ir2PtSe
_symmetry_space_group_name_H-M 'C 1 2/m 1'
_symmetry_Int_Tables_number 12
_cell_length_a 9.082
_cell_length_b 2.892
_cell_length_c 4.874
_cell_angle_alpha 90.00
_cell_angle_beta 103.25
_cell_angle_gamma 90.00
loop_
_symmetry_equiv_pos_as_xyz
'x,y,z'
'-x,-y,-z'
'-x,y,-z'
'x,-y,z'
'x+1/2,y+1/2,z'
'-x+1/2,-y+1/2,-z'
'-x+1/2,y+1/2,-z'
'x+1/2,-y+1/2,z'
loop_
_atom_site_label
_atom_site_fract_x
_atom_site_fract_y
_atom_site_fract_z
_atom_site_occupancy
Ir1 0.242 0.000 0.248 1
Pt1 0.000 0.000 0.500 1
Se1 0.000 0.500 0.000 1
```

Crystal system ... monoclinic
VASP energy ... -6.430 eV per atom

Entry 20:
VASP calculation (PBE-GGA) on a relaxed structure of IrPt2Se.

Structure (CIF):
```
data_IrPt2Se
_symmetry_space_group_name_H-M 'P 4/m m m'
_symmetry_Int_Tables_number 123
_symmetry_space_group_name_Hall '-P 4 2'
_cell_length_a 2.879
_cell_length_b 2.879
_cell_length_c 7.779
_cell_angle_alpha 90.00
_cell_angle_beta 90.00
_cell_angle_gamma 90.00
loop_
_atom_site_label
_atom_site_fract_x
_atom_site_fract_y
_atom_site_fract_z
_atom_site_occupancy
Ir1 0.000 0.000 0.000 1
Pt1 0.500 0.500 0.242 1
Se1 0.000 0.000 0.500 1
```

Crystal system ... tetragonal
VASP energy ... -5.821 eV per atom